Entry 1:
# YBe3

A geometry-optimized YBe3 structure (PBEsol, Alexandria).

Calculated values
As for the final energy: -4.77 eV per atom. Its space group is No. 166. For the magnetization, the calculation gives 0.000 μB/atom. The calculation puts the energy above the lowest structure with this stoichiometry at 0 meV/atom.

Lattice parameters (Å, degrees): 5.2426 5.2426 5.2426 40.88 40.88 40.88
Element x y z (fractional)
Y (0.0000, 0.0000, 0.0000)
Be (0.1926, 0.1926, 0.1926)
Be (0.5000, 0.5000, 0.5000)
Be (0.8074, 0.8074, 0.8074)

Entry 2:
# RbCrS2

A geometry-optimized RbCrS2 structure (PBEsol, Alexandria).

Calculated values
As for the final energy: -5.80 eV per atom. Its space group is No. 122. For the magnetization, the calculation gives 0.750 μB/atom. Its energy relative to the elements, uncorrected is -0.791 eV/atom.

Lattice parameters (Å, degrees): 6.4427 6.4427 6.4427 113.55 113.55 101.58
Element x y z (fractional)
Rb (0.0000, 0.0000, 0.0000)
Rb (0.7500, 0.2500, 0.5000)
Cr (0.2500, 0.7500, 0.5000)
Cr (0.5000, 0.5000, 0.0000)
S (0.2455, 0.1250, 0.6205)
S (0.3750, 0.7545, 0.8795)
S (0.5045, 0.6250, 0.3795)
S (0.8750, 0.4955, 0.1205)